# 1
# Ac3SiI2 PBE-GGA optimized geometry
# * volume: 902.2 Å³ per cell
# * formation energy (no corrections): -0.9179 eV/atom
# * total moment: 0.00 μB/f.u.
data_Ac3SiI2
_chemical_formula_sum 'Ac12 Si4 I8'
_symmetry_space_group_name_H-M 'C 1 2/m 1'
_symmetry_Int_Tables_number 12
_cell_length_a 8.106
_cell_length_b 13.999
_cell_length_c 8.390
_cell_angle_alpha 90.00
_cell_angle_beta 108.61
_cell_angle_gamma 90.00
loop_
_symmetry_equiv_pos_as_xyz
'x,y,z'
'-x,-y,-z'
'-x,y,-z'
'x,-y,z'
'x+1/2,y+1/2,z'
'-x+1/2,-y+1/2,-z'
'-x+1/2,y+1/2,-z'
'x+1/2,-y+1/2,z'
loop_
_atom_site_label
_atom_site_type_symbol
_atom_site_fract_x
_atom_site_fract_y
_atom_site_fract_z
Ac1 Ac 0.208 0.000 0.203
Ac2 Ac 0.250 0.180 0.792
Si1 Si 0.000 0.168 0.000
I1 I 0.000 0.000 0.500
I2 I 0.000 0.341 0.500
I3 I 0.000 0.500 0.000

***

# 2
# Ac2SiI2 PBE-GGA optimized geometry
# * energy relative to the lowest polymorph listed for this composition: 0 meV/atom
# * volume: 466.3 Å³ per cell
# * formation energy (no corrections): -1.1571 eV/atom
# * total moment: 0.00 μB/f.u.
data_Ac2SiI2
_chemical_formula_sum 'Ac4 Si2 I4'
_symmetry_space_group_name_H-M 'C 1 2/m 1'
_symmetry_Int_Tables_number 12
_cell_length_a 8.068
_cell_length_b 4.657
_cell_length_c 12.760
_cell_angle_alpha 90.00
_cell_angle_beta 103.41
_cell_angle_gamma 90.00
loop_
_symmetry_equiv_pos_as_xyz
'x,y,z'
'-x,-y,-z'
'-x,y,-z'
'x,-y,z'
'x+1/2,y+1/2,z'
'-x+1/2,-y+1/2,-z'
'-x+1/2,y+1/2,-z'
'x+1/2,-y+1/2,z'
loop_
_atom_site_label
_atom_site_type_symbol
_atom_site_fract_x
_atom_site_fract_y
_atom_site_fract_z
Ac1 Ac 0.218 0.000 0.139
Si1 Si 0.000 0.500 0.000
I1 I 0.053 0.000 0.689

***

# 3
# Ac2SiI2 PBE-GGA optimized geometry
# * energy relative to the lowest polymorph listed for this composition: 280 meV/atom
# * volume: 806.0 Å³ per cell
# * formation energy (no corrections): -0.8766 eV/atom
# * total moment: 0.00 μB/f.u.
data_Ac2SiI2
_chemical_formula_sum 'Ac8 Si4 I8'
_symmetry_space_group_name_H-M 'C m c 21'
_symmetry_Int_Tables_number 36
_cell_length_a 4.432
_cell_length_b 16.057
_cell_length_c 11.325
_cell_angle_alpha 90.00
_cell_angle_beta 90.00
_cell_angle_gamma 90.00
loop_
_symmetry_equiv_pos_as_xyz
'x,y,z'
'-x,-y,z+1/2'
'-x,y,z'
'x,-y,z+1/2'
'x+1/2,y+1/2,z'
'-x+1/2,-y+1/2,z+1/2'
'-x+1/2,y+1/2,z'
'x+1/2,-y+1/2,z+1/2'
loop_
_atom_site_label
_atom_site_type_symbol
_atom_site_fract_x
_atom_site_fract_y
_atom_site_fract_z
Ac1 Ac 0.000 0.046 0.000
Ac2 Ac 0.000 0.235 0.238
Si1 Si 0.000 0.336 0.570
I1 I 0.000 0.098 0.721
I2 I 0.000 0.374 0.924

***

# 4
# AcSiI PBE-GGA optimized geometry
# * energy relative to the lowest polymorph listed for this composition: 0 meV/atom
# * volume: 426.7 Å³ per cell
# * formation energy (no corrections): -1.0554 eV/atom
# * total moment: 0.00 μB/f.u.
data_AcSiI
_chemical_formula_sum 'Ac4 Si4 I4'
_symmetry_space_group_name_H-M 'C 1 2/m 1'
_symmetry_Int_Tables_number 12
_cell_length_a 7.541
_cell_length_b 4.373
_cell_length_c 12.947
_cell_angle_alpha 90.00
_cell_angle_beta 91.57
_cell_angle_gamma 90.00
loop_
_symmetry_equiv_pos_as_xyz
'x,y,z'
'-x,-y,-z'
'-x,y,-z'
'x,-y,z'
'x+1/2,y+1/2,z'
'-x+1/2,-y+1/2,-z'
'-x+1/2,y+1/2,-z'
'x+1/2,-y+1/2,z'
loop_
_atom_site_label
_atom_site_type_symbol
_atom_site_fract_x
_atom_site_fract_y
_atom_site_fract_z
Ac1 Ac 0.007 0.000 0.165
Si1 Si 0.167 0.500 0.996
I1 I 0.182 0.500 0.340

***

# 5
# Ac2Si2I PBE-GGA optimized geometry
# * volume: 653.2 Å³ per cell
# * formation energy (no corrections): -0.8683 eV/atom
# * total moment: 0.00 μB/f.u.
data_Ac2Si2I
_chemical_formula_sum 'Ac8 Si8 I4'
_symmetry_space_group_name_H-M 'I m m a'
_symmetry_Int_Tables_number 74
_symmetry_space_group_name_Hall '-I 2b 2'
_cell_length_a 8.625
_cell_length_b 18.491
_cell_length_c 4.096
_cell_angle_alpha 90.00
_cell_angle_beta 90.00
_cell_angle_gamma 90.00
loop_
_atom_site_label
_atom_site_type_symbol
_atom_site_fract_x
_atom_site_fract_y
_atom_site_fract_z
Ac1 Ac 0.250 0.099 0.250
Si1 Si 0.000 0.037 0.750
I1 I 0.000 0.250 0.229

***

# 6
# AcSiI2 PBE-GGA optimized geometry
# * volume: 453.4 Å³ per cell
# * formation energy (no corrections): -0.2164 eV/atom
# * total moment: 0.00 μB/f.u.
data_AcSiI2
_chemical_formula_sum 'Ac3 Si3 I6'
_symmetry_space_group_name_H-M 'R -3 m'
_symmetry_Int_Tables_number 166
_symmetry_space_group_name_Hall '-R 3 2"'
_cell_length_a 4.0146
_cell_length_b 4.0146
_cell_length_c 32.4875
_cell_angle_alpha 90.00
_cell_angle_beta 90.00
_cell_angle_gamma 120.00
loop_
_atom_site_label
_atom_site_type_symbol
_atom_site_fract_x
_atom_site_fract_y
_atom_site_fract_z
Ac1 Ac 0.0000 0.0000 0.0000
Si1 Si 0.0000 0.0000 0.5000
I1 I 0.0000 0.0000 0.4094

***

# 7
# Ac5Si2I5 PBE-GGA optimized geometry
# * volume: 972.8 Å³ per cell
# * formation energy (no corrections): -0.8465 eV/atom
# * total moment: 0.00 μB/f.u.
data_Ac5Si2I5
_chemical_formula_sum 'Ac10 Si4 I10'
_symmetry_space_group_name_H-M 'C 1 2/m 1'
_symmetry_Int_Tables_number 12
_cell_length_a 15.478
_cell_length_b 4.616
_cell_length_c 14.151
_cell_angle_alpha 90.00
_cell_angle_beta 105.83
_cell_angle_gamma 90.00
loop_
_symmetry_equiv_pos_as_xyz
'x,y,z'
'-x,-y,-z'
'-x,y,-z'
'x,-y,z'
'x+1/2,y+1/2,z'
'-x+1/2,-y+1/2,-z'
'-x+1/2,y+1/2,-z'
'x+1/2,-y+1/2,z'
loop_
_atom_site_label
_atom_site_type_symbol
_atom_site_fract_x
_atom_site_fract_y
_atom_site_fract_z
Ac1 Ac 0.000 0.000 0.000
Ac2 Ac 0.096 0.000 0.392
Ac3 Ac 0.154 0.500 0.809
Si1 Si 0.031 0.000 0.799
I1 I 0.000 0.500 0.500
I2 I 0.170 0.500 0.058
I3 I 0.248 0.000 0.641

***

# 8
# Ac3Si2I3 PBE-GGA optimized geometry
# * volume: 527.2 Å³ per cell
# * formation energy (no corrections): -0.9067 eV/atom
# * total moment: 0.00 μB/f.u.
data_Ac3Si2I3
_chemical_formula_sum 'Ac6 Si4 I6'
_symmetry_space_group_name_H-M 'P 63/m c m'
_symmetry_Int_Tables_number 193
_symmetry_space_group_name_Hall '-P 6c 2'
_cell_length_a 9.7123
_cell_length_b 9.7123
_cell_length_c 6.4541
_cell_angle_alpha 90.00
_cell_angle_beta 90.00
_cell_angle_gamma 120.00
loop_
_atom_site_label
_atom_site_type_symbol
_atom_site_fract_x
_atom_site_fract_y
_atom_site_fract_z
Ac1 Ac 0.0000 0.3944 0.2500
Si1 Si 0.3333 0.6667 0.0000
I1 I 0.0000 0.2455 0.7500

***

# 9
# Ac8Si3SnI4 PBE-GGA optimized geometry
# * volume: 1834.0 Å³ per cell
# * formation energy (no corrections): -0.9174 eV/atom
# * total moment: 0.00 μB/f.u.
data_Ac8Si3SnI4
_chemical_formula_sum 'Ac24 Si9 Sn3 I12'
_symmetry_space_group_name_H-M 'R -3 m'
_symmetry_Int_Tables_number 166
_symmetry_space_group_name_Hall '-R 3 2"'
_cell_length_a 9.3444
_cell_length_b 9.3444
_cell_length_c 24.2536
_cell_angle_alpha 90.00
_cell_angle_beta 90.00
_cell_angle_gamma 120.00
loop_
_atom_site_label
_atom_site_type_symbol
_atom_site_fract_x
_atom_site_fract_y
_atom_site_fract_z
Ac1 Ac 0.0000 0.0000 0.2328
Ac2 Ac 0.0133 0.5067 0.7652
Si1 Si 0.0000 0.5000 0.5000
Sn1 Sn 0.0000 0.0000 0.5000
I1 I 0.0000 0.0000 0.0000
I2 I 0.0000 0.5000 0.0000

***

# 10
# SrAcSiI PBE-GGA optimized geometry
# * volume: 463.6 Å³ per cell
# * formation energy (no corrections): -0.8917 eV/atom
# * total moment: 0.00 μB/f.u.
data_SrAcSiI
_chemical_formula_sum 'Sr3 Ac3 Si3 I3'
_symmetry_space_group_name_H-M 'R 3 m'
_symmetry_Int_Tables_number 160
_symmetry_space_group_name_Hall 'R 3 -2"'
_cell_length_a 4.6428
_cell_length_b 4.6428
_cell_length_c 24.8372
_cell_angle_alpha 90.00
_cell_angle_beta 90.00
_cell_angle_gamma 120.00
loop_
_atom_site_label
_atom_site_type_symbol
_atom_site_fract_x
_atom_site_fract_y
_atom_site_fract_z
Sr1 Sr 0.0000 0.0000 0.0000
Ac1 Ac 0.0000 0.0000 0.7956
Si1 Si 0.0000 0.0000 0.4023
I1 I 0.0000 0.0000 0.2316

***

# 11
# Ac4SiTeI2 PBE-GGA optimized geometry
# * volume: 303.1 Å³ per cell
# * formation energy (no corrections): -1.0718 eV/atom
# * total moment: 0.00 μB/f.u.
data_Ac4SiTeI2
_chemical_formula_sum 'Ac4 Si1 Te1 I2'
_symmetry_space_group_name_H-M 'P 1 2/m 1'
_symmetry_Int_Tables_number 10
_cell_length_a 8.282
_cell_length_b 4.656
_cell_length_c 8.301
_cell_angle_alpha 90.00
_cell_angle_beta 108.74
_cell_angle_gamma 90.00
loop_
_symmetry_equiv_pos_as_xyz
'x,y,z'
'-x,-y,-z'
'-x,y,-z'
'x,-y,z'
loop_
_atom_site_label
_atom_site_type_symbol
_atom_site_fract_x
_atom_site_fract_y
_atom_site_fract_z
Ac1 Ac 0.213 0.000 0.205
Ac2 Ac 0.234 0.500 0.785
Si1 Si 0.000 0.500 0.000
Te1 Te 0.500 0.000 0.000
I1 I 0.000 0.000 0.500
I2 I 0.500 0.500 0.500

***

Number 1: energy -26.4 eV per formula unit. Number 2: energy -22.5 eV per formula unit. Number 3: energy -21.1 eV per formula unit. Number 4: energy -14.2 eV per formula unit. Number 5: energy -25.0 eV per formula unit. Number 6: energy -13.5 eV per formula unit. Number 7: energy -49.3 eV per formula unit. Number 8: energy -35.1 eV per formula unit. Number 9: energy -74.0 eV per formula unit. Number 10: energy -16.3 eV per formula unit. Number 11: energy -36.7 eV per formula unit.